Entry from the Alexandria database: a geometry-optimized GeSe2O6 structure (PBEsol).

a b c (Å): 7.812 7.812 7.812
angles (deg): 90.00 90.00 90.00
Positions (direct):
Ge 0.000 0.000 0.000
Ge 0.000 0.500 0.500
Ge 0.500 0.000 0.500
Ge 0.500 0.500 0.000
Se 0.170 0.670 0.830
Se 0.170 0.830 0.330
Se 0.330 0.170 0.830
Se 0.330 0.330 0.330
Se 0.670 0.670 0.670
Se 0.670 0.830 0.170
Se 0.830 0.170 0.670
Se 0.830 0.330 0.170
O 0.027 0.527 0.740
O 0.027 0.740 0.473
O 0.027 0.760 0.973
O 0.027 0.973 0.240
O 0.240 0.027 0.973
O 0.240 0.473 0.473
O 0.260 0.527 0.973
O 0.260 0.973 0.473
O 0.473 0.027 0.740
O 0.473 0.240 0.473
O 0.473 0.260 0.973
O 0.473 0.473 0.240
O 0.527 0.527 0.760
O 0.527 0.740 0.027
O 0.527 0.760 0.527
O 0.527 0.973 0.260
O 0.740 0.027 0.527
O 0.740 0.473 0.027
O 0.760 0.527 0.527
O 0.760 0.973 0.027
O 0.973 0.027 0.760
O 0.973 0.240 0.027
O 0.973 0.260 0.527
O 0.973 0.473 0.260

Total moment in μB per formula unit: 0.00
Energy relative to the lowest polymorph listed for this composition in meV per atom: 14
VASP energy in eV/atom: -5.96
DOS at the Fermi energy in states/eV per cell: 0.000
Uncorrected formation energy in eV/f.u.: -9.54